Record 1
A plane-wave DFT calculation with PBE was carried out for an optimized crystal structure of NaLi6Ag2.

```
9
Lattice="2.887 0.053 -0.166 -0.362 7.114 -4.036 0.385 -0.082 8.124" Properties=species:S:1:pos:R:3 pbc="T T T"
Li 1.776 2.501 1.346
Li 1.703 2.420 6.636
Li 1.008 7.070 1.165
Li 1.902 0.014 2.757
Li 1.593 4.581 5.410
Li 1.134 4.583 2.576
Ag -0.109 4.695 -0.018
Ag 3.019 2.389 3.940
Na 0.000 0.000 0.000
```

Properties
Crystal system: monoclinic
Energy relative to the elements: -0.06 eV/atom
Energy above the most stable polymorph in this dataset: 0.00 eV/f.u.
Volume: 18.5 Å³ per atom


Record 2
A plane-wave DFT calculation with PBE was carried out for an optimized crystal structure of Mn3SiH.

```
5
Lattice="3.402 0.000 0.000 0.000 3.402 0.000 0.000 0.000 6.203" Properties=species:S:1:pos:R:3 pbc="T T T"
Mn 0.000 1.701 2.847
Mn 1.701 0.000 2.847
Mn 0.000 0.000 4.864
Si 0.000 0.000 1.130
H 1.701 1.701 2.352
```

Properties
Crystal system: tetragonal
Energy above the most stable polymorph in this dataset: 3.68 eV/f.u.
Volume: 14.4 Å³ per atom


Record 3
A plane-wave DFT calculation with PBE was carried out for an optimized crystal structure of Tm2ZrZn3.

```
6
Lattice="4.877 0.000 0.000 -2.439 4.224 0.000 0.000 0.000 6.012" Properties=species:S:1:pos:R:3 pbc="T T T"
Zn 2.439 1.408 5.038
Zn 0.000 0.000 3.006
Zn 0.000 2.816 0.973
Tm 0.000 2.816 4.036
Tm 2.439 1.408 1.976
Zr 0.000 0.000 0.000
```

Properties
Crystal system: trigonal
Energy relative to the elements: -0.29 eV/atom
Energy above the most stable polymorph in this dataset: 0.08 eV/f.u.
Volume: 20.6 Å³ per atom